# Ca2SbAu GGA-PBE optimized geometry
data_Ca2SbAu
_symmetry_space_group_name_H-M 'I m m 2'
_symmetry_Int_Tables_number 44
_cell_length_a 4.208
_cell_length_b 4.660
_cell_length_c 10.873
_cell_angle_alpha 90.00
_cell_angle_beta 90.00
_cell_angle_gamma 90.00
loop_
_symmetry_equiv_pos_as_xyz
'x,y,z'
'-x,-y,z'
'-x,y,z'
'x,-y,z'
'x+1/2,y+1/2,z+1/2'
'-x+1/2,-y+1/2,z+1/2'
'-x+1/2,y+1/2,z+1/2'
'x+1/2,-y+1/2,z+1/2'
loop_
_atom_site_label
_atom_site_type_symbol
_atom_site_fract_x
_atom_site_fract_y
_atom_site_fract_z
_atom_site_occupancy
Ca1 Ca 0.000 0.000 0.000 1
Ca2 Ca 0.000 0.500 0.227 1
Sb1 Sb 0.000 0.000 0.455 1
Au1 Au 0.000 0.500 0.742 1
# Formation energy (no corrections) = -0.7278 eV/atom
# Electronic total energy = -0.1315 Ha/atom
# Calculated volume = 26.7 Å³/atom
# Total magnetic moment = 0.00 μB per cell

---

# Ca2SbAu2 GGA-PBE optimized geometry
data_Ca2SbAu2
_symmetry_space_group_name_H-M 'I 4/m m m'
_symmetry_Int_Tables_number 139
_symmetry_space_group_name_Hall '-I 4 2'
_cell_length_a 5.694
_cell_length_b 5.694
_cell_length_c 8.607
_cell_angle_alpha 90.00
_cell_angle_beta 90.00
_cell_angle_gamma 90.00
loop_
_atom_site_label
_atom_site_type_symbol
_atom_site_fract_x
_atom_site_fract_y
_atom_site_fract_z
_atom_site_occupancy
Ca1 Ca 0.000 0.500 0.250 1
Sb1 Sb 0.000 0.000 0.000 1
Au1 Au 0.000 0.000 0.347 1
# Formation energy (no corrections) = -0.6322 eV/atom
# Electronic total energy = -0.1311 Ha/atom
# Distance to the lowest polymorph of the same formula = 0.74 eV per formula unit
# Calculated volume = 27.9 Å³/atom
# Total magnetic moment = 0.00 μB per cell

---

# CaSbAu3 GGA-PBE optimized geometry
data_CaSbAu3
_symmetry_space_group_name_H-M 'P m -3 m'
_symmetry_Int_Tables_number 221
_symmetry_space_group_name_Hall '-P 4 2 3'
_cell_length_a 5.227
_cell_length_b 5.227
_cell_length_c 5.227
_cell_angle_alpha 90.00
_cell_angle_beta 90.00
_cell_angle_gamma 90.00
loop_
_atom_site_label
_atom_site_type_symbol
_atom_site_fract_x
_atom_site_fract_y
_atom_site_fract_z
_atom_site_occupancy
Ca1 Ca 0.000 0.000 0.000 1
Sb1 Sb 0.500 0.500 0.500 1
Au1 Au 0.000 0.500 0.500 1
# Formation energy (no corrections) = -0.0811 eV/atom
# Electronic total energy = -0.1203 Ha/atom
# Distance to the lowest polymorph of the same formula = 1.86 eV per formula unit
# Calculated volume = 28.6 Å³/atom
# Total magnetic moment = 0.00 μB per cell

---

# Ca5SbAu2 GGA-PBE optimized geometry
data_Ca5SbAu2
_symmetry_space_group_name_H-M 'I 4/m c m'
_symmetry_Int_Tables_number 140
_symmetry_space_group_name_Hall '-I 4 2c'
_cell_length_a 8.016
_cell_length_b 8.016
_cell_length_c 14.566
_cell_angle_alpha 90.00
_cell_angle_beta 90.00
_cell_angle_gamma 90.00
loop_
_atom_site_label
_atom_site_type_symbol
_atom_site_fract_x
_atom_site_fract_y
_atom_site_fract_z
_atom_site_occupancy
Ca1 Ca 0.000 0.000 0.000 1
Ca2 Ca 0.168 0.332 0.140 1
Sb1 Sb 0.000 0.000 0.250 1
Au1 Au 0.130 0.370 0.500 1
# Formation energy (no corrections) = -0.7631 eV/atom
# Electronic total energy = -0.1231 Ha/atom
# Calculated volume = 29.2 Å³/atom
# Total magnetic moment = 0.00 μB per cell

---

# CaSb2Au2 GGA-PBE optimized geometry
data_CaSb2Au2
_symmetry_space_group_name_H-M 'P 4/m b m'
_symmetry_Int_Tables_number 127
_symmetry_space_group_name_Hall '-P 4 2ab'
_cell_length_a 7.817
_cell_length_b 7.817
_cell_length_c 3.951
_cell_angle_alpha 90.00
_cell_angle_beta 90.00
_cell_angle_gamma 90.00
loop_
_atom_site_label
_atom_site_type_symbol
_atom_site_fract_x
_atom_site_fract_y
_atom_site_fract_z
_atom_site_occupancy
Ca1 Ca 0.000 0.000 0.000 1
Sb1 Sb 0.182 0.318 0.500 1
Au1 Au 0.126 0.626 0.000 1
# Formation energy (no corrections) = -0.3736 eV/atom
# Electronic total energy = -0.1372 Ha/atom
# Calculated volume = 24.1 Å³/atom
# Total magnetic moment = 0.00 μB per cell

---

# Ca2SbAu GGA-PBE optimized geometry
data_Ca2SbAu
_symmetry_space_group_name_H-M 'A m m 2'
_symmetry_Int_Tables_number 38
_cell_length_a 4.622
_cell_length_b 4.215
_cell_length_c 11.520
_cell_angle_alpha 90.00
_cell_angle_beta 90.00
_cell_angle_gamma 90.00
loop_
_symmetry_equiv_pos_as_xyz
'x,y,z'
'-x,-y,z'
'-x,y,z'
'x,-y,z'
'x,y+1/2,z+1/2'
'-x,-y+1/2,z+1/2'
'-x,y+1/2,z+1/2'
'x,-y+1/2,z+1/2'
loop_
_atom_site_label
_atom_site_type_symbol
_atom_site_fract_x
_atom_site_fract_y
_atom_site_fract_z
_atom_site_occupancy
Ca1 Ca 0.000 0.000 0.000 1
Ca2 Ca 0.500 0.000 0.280 1
Sb1 Sb 0.000 0.000 0.721 1
Au1 Au 0.500 0.000 0.547 1
# Formation energy (no corrections) = -0.8756 eV/atom
# Electronic total energy = -0.1369 Ha/atom
# Calculated volume = 28.1 Å³/atom
# Total magnetic moment = 0.00 μB per cell

---

# CaSbAu3 GGA-PBE optimized geometry
data_CaSbAu3
_symmetry_space_group_name_H-M 'P m -3 m'
_symmetry_Int_Tables_number 221
_symmetry_space_group_name_Hall '-P 4 2 3'
_cell_length_a 5.280
_cell_length_b 5.280
_cell_length_c 5.280
_cell_angle_alpha 90.00
_cell_angle_beta 90.00
_cell_angle_gamma 90.00
loop_
_atom_site_label
_atom_site_type_symbol
_atom_site_fract_x
_atom_site_fract_y
_atom_site_fract_z
_atom_site_occupancy
Ca1 Ca 0.000 0.000 0.000 1
Sb1 Sb 0.500 0.500 0.500 1
Au1 Au 0.000 0.000 0.500 1
# Formation energy (no corrections) = 0.5854 eV/atom
# Electronic total energy = -0.0958 Ha/atom
# Distance to the lowest polymorph of the same formula = 5.19 eV per formula unit
# Calculated volume = 29.4 Å³/atom
# Total magnetic moment = 0.00 μB per cell

---

# Ca3Sb2Au GGA-PBE optimized geometry
data_Ca3Sb2Au
_symmetry_space_group_name_H-M 'P n m a'
_symmetry_Int_Tables_number 62
_cell_length_a 12.344
_cell_length_b 4.613
_cell_length_c 12.249
_cell_angle_alpha 90.00
_cell_angle_beta 90.00
_cell_angle_gamma 90.00
loop_
_symmetry_equiv_pos_as_xyz
'x,y,z'
'-x,-y,-z'
'-x+1/2,-y,z+1/2'
'x+1/2,y,-z+1/2'
'x+1/2,-y+1/2,-z+1/2'
'-x+1/2,y+1/2,z+1/2'
'-x,y+1/2,-z'
'x,-y+1/2,z'
loop_
_atom_site_label
_atom_site_type_symbol
_atom_site_fract_x
_atom_site_fract_y
_atom_site_fract_z
_atom_site_occupancy
Ca1 Ca 0.053 0.250 0.124 1
Ca2 Ca 0.125 0.750 0.553 1
Ca3 Ca 0.220 0.250 0.798 1
Sb1 Sb 0.008 0.750 0.312 1
Sb2 Sb 0.187 0.750 0.002 1
Au1 Au 0.132 0.250 0.363 1
# Formation energy (no corrections) = -0.8926 eV/atom
# Electronic total energy = -0.1402 Ha/atom
# Calculated volume = 29.1 Å³/atom
# Total magnetic moment = 2.14 μB per cell